1.
## Rb3ReCl2F6 (PBE)

Data for a relaxed Rb3ReCl2F6 crystal.

Structure (CIF):
```
data_Rb3ReCl2F6
_cell_length_a 16.1598
_cell_length_b 8.0457
_cell_length_c 4.8603
_cell_angle_alpha 90.00
_cell_angle_beta 90.05
_cell_angle_gamma 90.00
_symmetry_space_group_name_H-M 'C 1 2/m 1'
_symmetry_Int_Tables_number 12
_symmetry_space_group_name_Hall '-C 2y'
loop_
_atom_site_label
_atom_site_type_symbol
_atom_site_fract_x
_atom_site_fract_y
_atom_site_fract_z
Rb1 Rb 0.0000 0.0000 0.0000
Rb2 Rb 0.2500 0.2500 0.5000
Re1 Re 0.0000 0.5000 0.5000
Cl1 Cl 0.1942 0.0000 0.9896
F1 F 0.0415 0.3253 0.2677
F2 F 0.1063 0.5000 0.6771
```

Values from the calculation:
E_form (uncorrected) = -2.21 eV/atom
Total magnetization = 4.00 μB/cell
Fermi-level density of states = 20.86 states/eV per cell

---

2.
## Rb2ReCl2F4 (PBE)

Data for a relaxed Rb2ReCl2F4 crystal.

Structure (CIF):
```
data_Rb2ReCl2F4
_cell_length_a 12.1611
_cell_length_b 6.3634
_cell_length_c 5.2667
_cell_angle_alpha 90.00
_cell_angle_beta 92.91
_cell_angle_gamma 90.00
_symmetry_space_group_name_H-M 'C 1 2/m 1'
_symmetry_Int_Tables_number 12
_symmetry_space_group_name_Hall '-C 2y'
loop_
_atom_site_label
_atom_site_type_symbol
_atom_site_fract_x
_atom_site_fract_y
_atom_site_fract_z
Rb1 Rb 0.1382 0.0000 0.1676
Re1 Re 0.0000 0.5000 0.5000
Cl1 Cl 0.1770 0.5000 0.3246
F1 F 0.0513 0.2699 0.7328
```

Values from the calculation:
E_form (uncorrected) = -2.07 eV/atom
Total magnetization = 6.00 μB/cell

---

3.
## Rb2ReCl6F (PBE)

Data for a relaxed Rb2ReCl6F crystal.

Structure (CIF):
```
data_Rb2ReCl6F
_cell_length_a 7.5384
_cell_length_b 7.5384
_cell_length_c 9.9606
_cell_angle_alpha 90.00
_cell_angle_beta 90.00
_cell_angle_gamma 90.00
_symmetry_space_group_name_H-M 'I 4/m m m'
_symmetry_Int_Tables_number 139
_symmetry_space_group_name_Hall '-I 4 2'
loop_
_atom_site_label
_atom_site_type_symbol
_atom_site_fract_x
_atom_site_fract_y
_atom_site_fract_z
Rb1 Rb 0.0000 0.5000 0.2500
Re1 Re 0.0000 0.0000 0.0000
Cl1 Cl 0.0000 0.0000 0.2353
Cl2 Cl 0.2213 0.2213 0.0000
F1 F 0.0000 0.0000 0.5000
```

Values from the calculation:
E_form (uncorrected) = -1.16 eV/atom
Total magnetization = 5.40 μB/cell
Fermi-level density of states = 19.98 states/eV per cell

---

4.
## RbRhCl2F (PBE)

Data for a relaxed RbRhCl2F crystal.

Structure (CIF):
```
data_RbRhCl2F
_cell_length_a 4.9671
_cell_length_b 4.9671
_cell_length_c 4.3037
_cell_angle_alpha 90.00
_cell_angle_beta 90.00
_cell_angle_gamma 90.00
_symmetry_space_group_name_H-M 'P 4/m m m'
_symmetry_Int_Tables_number 123
_symmetry_space_group_name_Hall '-P 4 2'
loop_
_atom_site_label
_atom_site_type_symbol
_atom_site_fract_x
_atom_site_fract_y
_atom_site_fract_z
Rb1 Rb 0.0000 0.0000 0.0000
Rh1 Rh 0.5000 0.5000 0.5000
Cl1 Cl 0.0000 0.5000 0.5000
F1 F 0.5000 0.5000 0.0000
```

Values from the calculation:
E_form (uncorrected) = -1.22 eV/atom
Total magnetization = 0.04 μB/cell
Fermi-level density of states = 3.57 states/eV per cell

---

5.
## RbRuClF2 (PBE)

Data for a relaxed RbRuClF2 crystal.

Structure (CIF):
```
data_RbRuClF2
_cell_length_a 5.3315
_cell_length_b 5.3315
_cell_length_c 4.2278
_cell_angle_alpha 90.00
_cell_angle_beta 90.00
_cell_angle_gamma 90.00
_symmetry_space_group_name_H-M 'P 4/m m m'
_symmetry_Int_Tables_number 123
_symmetry_space_group_name_Hall '-P 4 2'
loop_
_atom_site_label
_atom_site_type_symbol
_atom_site_fract_x
_atom_site_fract_y
_atom_site_fract_z
Rb1 Rb 0.0000 0.0000 0.0000
Ru1 Ru 0.5000 0.5000 0.0000
Cl1 Cl 0.5000 0.5000 0.5000
F1 F 0.0000 0.5000 0.5000
```

Values from the calculation:
E_form (uncorrected) = -0.53 eV/atom
Total magnetization = 2.28 μB/cell
Fermi-level density of states = 2.40 states/eV per cell

---

6.
## Rb2RuCl2F4 (PBE)

Data for a relaxed Rb2RuCl2F4 crystal.

Structure (CIF):
```
data_Rb2RuCl2F4
_cell_length_a 6.7940
_cell_length_b 6.7940
_cell_length_c 8.7014
_cell_angle_alpha 90.00
_cell_angle_beta 90.00
_cell_angle_gamma 90.00
_symmetry_space_group_name_H-M 'I 4/m m m'
_symmetry_Int_Tables_number 139
_symmetry_space_group_name_Hall '-I 4 2'
loop_
_atom_site_label
_atom_site_type_symbol
_atom_site_fract_x
_atom_site_fract_y
_atom_site_fract_z
Rb1 Rb 0.0000 0.5000 0.2500
Ru1 Ru 0.0000 0.0000 0.0000
Cl1 Cl 0.0000 0.0000 0.2697
F1 F 0.2035 0.2035 0.0000
```

Values from the calculation:
E_form (uncorrected) = -1.95 eV/atom
Total magnetization = 4.00 μB/cell
Fermi-level density of states = 12.59 states/eV per cell

---

7.
## Rb2RuCl4F2 (PBE)

Data for a relaxed Rb2RuCl4F2 crystal.

Structure (CIF):
```
data_Rb2RuCl4F2
_cell_length_a 11.3965
_cell_length_b 7.1868
_cell_length_c 5.8528
_cell_angle_alpha 90.00
_cell_angle_beta 102.64
_cell_angle_gamma 90.00
_symmetry_space_group_name_H-M 'C 1 2/m 1'
_symmetry_Int_Tables_number 12
_symmetry_space_group_name_Hall '-C 2y'
loop_
_atom_site_label
_atom_site_type_symbol
_atom_site_fract_x
_atom_site_fract_y
_atom_site_fract_z
Rb1 Rb 0.1720 0.0000 0.3087
Ru1 Ru 0.0000 0.5000 0.0000
Cl1 Cl 0.0894 0.2647 0.8121
F1 F 0.1395 0.5000 0.2555
```

Values from the calculation:
E_form (uncorrected) = -1.57 eV/atom
Total magnetization = 4.00 μB/cell
Fermi-level density of states = 2.98 states/eV per cell

---

8.
## Rb2RuCl6F (PBE)

Data for a relaxed Rb2RuCl6F crystal.

Structure (CIF):
```
data_Rb2RuCl6F
_cell_length_a 7.4916
_cell_length_b 7.4916
_cell_length_c 9.7769
_cell_angle_alpha 90.00
_cell_angle_beta 90.00
_cell_angle_gamma 90.00
_symmetry_space_group_name_H-M 'I 4/m m m'
_symmetry_Int_Tables_number 139
_symmetry_space_group_name_Hall '-I 4 2'
loop_
_atom_site_label
_atom_site_type_symbol
_atom_site_fract_x
_atom_site_fract_y
_atom_site_fract_z
Rb1 Rb 0.0000 0.5000 0.2500
Ru1 Ru 0.0000 0.0000 0.0000
Cl1 Cl 0.0000 0.0000 0.2394
Cl2 Cl 0.2215 0.2215 0.0000
F1 F 0.0000 0.0000 0.5000
```

Values from the calculation:
E_form (uncorrected) = -1.09 eV/atom
Total magnetization = 6.00 μB/cell
Fermi-level density of states = 8.87 states/eV per cell

---

What did the second record say?
## Rb2ReCl2F4 (PBE)

Data for a relaxed Rb2ReCl2F4 crystal.

Structure (CIF):
```
data_Rb2ReCl2F4
_cell_length_a 12.1611
_cell_length_b 6.3634
_cell_length_c 5.2667
_cell_angle_alpha 90.00
_cell_angle_beta 92.91
_cell_angle_gamma 90.00
_symmetry_space_group_name_H-M 'C 1 2/m 1'
_symmetry_Int_Tables_number 12
_symmetry_space_group_name_Hall '-C 2y'
loop_
_atom_site_label
_atom_site_type_symbol
_atom_site_fract_x
_atom_site_fract_y
_atom_site_fract_z
Rb1 Rb 0.1382 0.0000 0.1676
Re1 Re 0.0000 0.5000 0.5000
Cl1 Cl 0.1770 0.5000 0.3246
F1 F 0.0513 0.2699 0.7328
```

Values from the calculation:
E_form (uncorrected) = -2.07 eV/atom
Total magnetization = 6.00 μB/cell

---

Q: Number 3 is which compound?
A: Rb2ReCl6F

---

Q: What is the total magnetization in the eighth record?
A: 6.00 μB/cell